1.
A geometry-optimized NiGe2AsN structure. Source: Alexandria via LeMat-Bulk, functional PBE-GGA.

The structure in CIF format:
```
data_NiGe2AsN
_chemical_formula_sum 'Ni1 Ge2 As1 N1'
_symmetry_space_group_name_H-M 'P 4/m m m'
_symmetry_Int_Tables_number 123
_symmetry_space_group_name_Hall '-P 4 2'
_cell_length_a 5.105
_cell_length_b 5.105
_cell_length_c 4.284
_cell_angle_alpha 90.00
_cell_angle_beta 90.00
_cell_angle_gamma 90.00
loop_
_atom_site_label
_atom_site_fract_x
_atom_site_fract_y
_atom_site_fract_z
Ni1 0.000 0.000 0.000
Ge1 0.000 0.500 0.500
As1 0.000 0.000 0.500
N1 0.500 0.500 0.000
```

Calculated values
As for the total energy: -20.2 eV per cell. As for the formation energy from raw total energies: 1.564 eV/atom. The calculation puts the density of states at the Fermi level at 3.36 states/eV per cell.


2.
A geometry-optimized NaAlTe3 structure. Source: Alexandria via LeMat-Bulk, functional PBE-GGA.

The structure in CIF format:
```
data_NaAlTe3
_chemical_formula_sum 'Na1 Al1 Te3'
_symmetry_space_group_name_H-M 'P m -3 m'
_symmetry_Int_Tables_number 221
_symmetry_space_group_name_Hall '-P 4 2 3'
_cell_length_a 5.438
_cell_length_b 5.438
_cell_length_c 5.438
_cell_angle_alpha 90.00
_cell_angle_beta 90.00
_cell_angle_gamma 90.00
loop_
_atom_site_label
_atom_site_fract_x
_atom_site_fract_y
_atom_site_fract_z
Na1 0.000 0.000 0.000
Al1 0.500 0.500 0.500
Te1 0.000 0.500 0.500
```

Calculated values
As for the total energy: -15.1 eV per cell. As for the formation energy from raw total energies: -0.132 eV/atom. The calculation puts the density of states at the Fermi level at 3.97 states/eV per cell. As for the relative energy among the computed polymorphs: 392 meV per atom.


3.
A geometry-optimized PrBi2O5 structure. Source: Alexandria via LeMat-Bulk, functional PBE-GGA.

The structure in CIF format:
```
data_PrBi2O5
_chemical_formula_sum 'Pr4 Bi8 O20'
_symmetry_space_group_name_H-M 'C m c m'
_symmetry_Int_Tables_number 63
_symmetry_space_group_name_Hall '-C 2c 2'
_cell_length_a 4.434
_cell_length_b 11.038
_cell_length_c 10.820
_cell_angle_alpha 90.00
_cell_angle_beta 90.00
_cell_angle_gamma 90.00
loop_
_atom_site_label
_atom_site_fract_x
_atom_site_fract_y
_atom_site_fract_z
Pr1 0.000 0.044 0.250
Bi1 0.000 0.356 0.064
O1 0.000 0.115 0.586
O2 0.000 0.260 0.250
O3 0.000 0.457 0.628
```

Calculated values
As for the total energy: -202.5 eV per cell. As for the formation energy from raw total energies: -1.663 eV/atom. The calculation puts the density of states at the Fermi level at 12.53 states/eV per cell. As for the relative energy among the computed polymorphs: 0 meV per atom.


4.
A geometry-optimized Pm2TaH8 structure. Source: Alexandria via LeMat-Bulk, functional PBE-GGA.

The structure in CIF format:
```
data_Pm2TaH8
_chemical_formula_sum 'Pm4 Ta2 H16'
_symmetry_space_group_name_H-M 'C 1 2/m 1'
_symmetry_Int_Tables_number 12
_cell_length_a 11.066
_cell_length_b 3.538
_cell_length_c 6.481
_cell_angle_alpha 90.00
_cell_angle_beta 115.35
_cell_angle_gamma 90.00
loop_
_symmetry_equiv_pos_as_xyz
'x,y,z'
'-x,-y,-z'
'-x,y,-z'
'x,-y,z'
'x+1/2,y+1/2,z'
'-x+1/2,-y+1/2,-z'
'-x+1/2,y+1/2,-z'
'x+1/2,-y+1/2,z'
loop_
_atom_site_label
_atom_site_fract_x
_atom_site_fract_y
_atom_site_fract_z
Pm1 0.197 0.000 0.197
Ta1 0.000 0.000 0.500
H1 0.014 0.000 0.809
H2 0.078 0.500 0.641
H3 0.184 0.000 0.552
H4 0.189 0.500 0.013
```

Calculated values
As for the total energy: -103.2 eV per cell. The calculation puts the density of states at the Fermi level at 4.33 states/eV per cell.


5.
A geometry-optimized Tb2CeYTm structure. Source: Alexandria via LeMat-Bulk, functional PBE-GGA.

The structure in CIF format:
```
data_Tb2CeYTm
_chemical_formula_sum 'Tb4 Ce2 Y2 Tm2'
_symmetry_space_group_name_H-M 'P m m a'
_symmetry_Int_Tables_number 51
_cell_length_a 5.895
_cell_length_b 8.007
_cell_length_c 6.818
_cell_angle_alpha 90.00
_cell_angle_beta 90.00
_cell_angle_gamma 90.00
loop_
_symmetry_equiv_pos_as_xyz
'x,y,z'
'-x,-y,-z'
'-x+1/2,-y,z'
'x+1/2,y,-z'
'x+1/2,-y,-z'
'-x+1/2,y,z'
'-x,y,-z'
'x,-y,z'
loop_
_atom_site_label
_atom_site_fract_x
_atom_site_fract_y
_atom_site_fract_z
Tb1 0.250 0.198 0.190
Ce1 0.000 0.500 0.500
Y1 0.250 0.500 0.910
Tm1 0.250 0.000 0.660
```

Calculated values
As for the total energy: -49.1 eV per cell. Its formation energy is 1.58 eV per formula unit. The calculation puts the density of states at the Fermi level at 19.69 states/eV per cell.


6.
A geometry-optimized Dy2ThAl structure. Source: Alexandria via LeMat-Bulk, functional PBE-GGA.

The structure in CIF format:
```
data_Dy2ThAl
_chemical_formula_sum 'Dy6 Th3 Al3'
_symmetry_space_group_name_H-M 'R -3 m'
_symmetry_Int_Tables_number 166
_symmetry_space_group_name_Hall '-R 3 2"'
_cell_length_a 3.4264
_cell_length_b 3.4264
_cell_length_c 34.4212
_cell_angle_alpha 90.00
_cell_angle_beta 90.00
_cell_angle_gamma 120.00
loop_
_atom_site_label
_atom_site_fract_x
_atom_site_fract_y
_atom_site_fract_z
Dy1 0.0000 0.0000 0.0997
Th1 0.0000 0.0000 0.0000
Al1 0.0000 0.0000 0.5000
```

Calculated values
As for the total energy: -59.9 eV per cell. Its formation energy is 0.41 eV per formula unit. The calculation puts the density of states at the Fermi level at 11.82 states/eV per cell. As for the relative energy among the computed polymorphs: 287 meV per atom.


7.
A geometry-optimized BaGe2Ir structure. Source: Alexandria via LeMat-Bulk, functional PBE-GGA.

The structure in CIF format:
```
data_BaGe2Ir
_chemical_formula_sum 'Ba4 Ge8 Ir4'
_symmetry_space_group_name_H-M 'F m -3 m'
_symmetry_Int_Tables_number 225
_symmetry_space_group_name_Hall '-F 4 2 3'
_cell_length_a 6.972
_cell_length_b 6.972
_cell_length_c 6.972
_cell_angle_alpha 90.00
_cell_angle_beta 90.00
_cell_angle_gamma 90.00
loop_
_atom_site_label
_atom_site_fract_x
_atom_site_fract_y
_atom_site_fract_z
Ba1 0.000 0.000 0.000
Ge1 0.250 0.250 0.250
Ir1 0.000 0.000 0.500
```

Calculated values
As for the total energy: -78.0 eV per cell. Its formation energy is 0.53 eV per formula unit. The calculation puts the density of states at the Fermi level at 8.41 states/eV per cell.


8.
A geometry-optimized LaCu2Au2 structure. Source: Alexandria via LeMat-Bulk, functional PBE-GGA.

The structure in CIF format:
```
data_LaCu2Au2
_chemical_formula_sum 'La2 Cu4 Au4'
_symmetry_space_group_name_H-M 'I 4/m m m'
_symmetry_Int_Tables_number 139
_symmetry_space_group_name_Hall '-I 4 2'
_cell_length_a 4.611
_cell_length_b 4.611
_cell_length_c 9.558
_cell_angle_alpha 90.00
_cell_angle_beta 90.00
_cell_angle_gamma 90.00
loop_
_atom_site_label
_atom_site_fract_x
_atom_site_fract_y
_atom_site_fract_z
La1 0.000 0.000 0.000
Cu1 0.000 0.000 0.378
Au1 0.000 0.500 0.250
```

Calculated values
As for the total energy: -43.1 eV per cell. Its formation energy is -1.87 eV per formula unit. The calculation puts the density of states at the Fermi level at 5.63 states/eV per cell. As for the relative energy among the computed polymorphs: 6 meV per atom.


9.
A geometry-optimized K4AgP structure. Source: Alexandria via LeMat-Bulk, functional PBE-GGA.

The structure in CIF format:
```
data_K4AgP
_chemical_formula_sum 'K16 Ag4 P4'
_symmetry_space_group_name_H-M 'F -4 3 m'
_symmetry_Int_Tables_number 216
_symmetry_space_group_name_Hall 'F -4 2 3'
_cell_length_a 9.406
_cell_length_b 9.406
_cell_length_c 9.406
_cell_angle_alpha 90.00
_cell_angle_beta 90.00
_cell_angle_gamma 90.00
loop_
_atom_site_label
_atom_site_fract_x
_atom_site_fract_y
_atom_site_fract_z
K1 0.124 0.124 0.124
Ag1 0.000 0.000 0.500
P1 0.250 0.250 0.750
```

Calculated values
As for the total energy: -39.0 eV per cell. Its formation energy is 2.90 eV per formula unit. The calculation puts the density of states at the Fermi level at 20.20 states/eV per cell.


10.
A geometry-optimized KLaP2 structure. Source: Alexandria via LeMat-Bulk, functional PBE-GGA.

The structure in CIF format:
```
data_KLaP2
_chemical_formula_sum 'K4 La4 P8'
_symmetry_space_group_name_H-M 'F m -3 m'
_symmetry_Int_Tables_number 225
_symmetry_space_group_name_Hall '-F 4 2 3'
_cell_length_a 7.357
_cell_length_b 7.357
_cell_length_c 7.357
_cell_angle_alpha 90.00
_cell_angle_beta 90.00
_cell_angle_gamma 90.00
loop_
_atom_site_label
_atom_site_fract_x
_atom_site_fract_y
_atom_site_fract_z
K1 0.000 0.000 0.000
La1 0.000 0.000 0.500
P1 0.250 0.250 0.250
```

Calculated values
As for the total energy: -74.2 eV per cell. Its formation energy is -1.71 eV per formula unit. The calculation puts the density of states at the Fermi level at 28.49 states/eV per cell. As for the relative energy among the computed polymorphs: 440 meV per atom.


- The highest density of states at the Fermi level belongs to which entry?
  KLaP2


- What is the density of states at the Fermi level in the sixth record?
  11.82 states/eV per cell


- Number 6 is which compound?
  Dy2ThAl